A relaxed VCuN2O crystal, computed with PBE with a Hubbard U.

Lattice parameters (Å, degrees): 3.6523 3.6523 3.7890 90.00 90.00 90.00
Last column: nearest neighbours and their distance in Å.
Sites, in units of the cell vectors:
V (0.0000, 0.0000, 0.0000)  4 O 2.58, 8 N 2.63
Cu (0.5000, 0.5000, 0.5000)  4 N 1.83, 2 O 1.89
N (0.0000, 0.5000, 0.5000)  2 Cu 1.83
N (0.5000, 0.0000, 0.5000)  2 Cu 1.83
O (0.5000, 0.5000, 0.0000)  2 Cu 1.89

Values from the calculation:
E	-0.200	hartree per atom
M_tot	1.0	Bohr magnetons per cell
space group	P4/mmm